Entry from the Alexandria database: UPbF6 after structural relaxation (PBE).

abc: 5.6891 5.6891 8.2110
angles: 90.00 90.00 90.00
Site moments in Bohr magnetons follow the coordinates.
Positions (direct):
U: 0.5000 0.5000 0.2500  1.99
F: 0.6759 0.6502 0.0000  0.00
F: 0.2112 0.2584 0.6902  -0.01
F: 0.3241 0.3498 0.0000  0.00
F: 0.7416 0.2112 0.8098  -0.01
F: 0.7888 0.7416 0.6902  -0.01
F: 0.6502 0.3241 0.5000  0.00
F: 0.7888 0.7416 0.3098  -0.01
Pb: 0.0000 0.0000 0.0000  0.00
U: 0.5000 0.5000 0.7500  1.99
F: 0.3498 0.6759 0.5000  0.00
F: 0.2584 0.7888 0.1902  -0.01
F: 0.2584 0.7888 0.8098  -0.01
F: 0.7416 0.2112 0.1902  -0.01
Pb: 0.0000 0.0000 0.5000  0.00
F: 0.2112 0.2584 0.3098  -0.01

Density of states at the Fermi level   0.6776 states/eV per atom
Formation energy without anion corrections   -3.161 eV/atom
Crystal system   tetragonal